Entry 1:
# PaSbTeO6

A relaxed structure of PaSbTeO6 (PBE-GGA, Alexandria via LeMat-Bulk).

```
PaSbTeO6
1.0
5.796 0.000 0.000
-2.898 5.020 0.000
0.000 0.000 9.516
O Pa Sb Te
12 2 2 2
Direct
0.343 0.998 0.133
0.002 0.657 0.367
0.657 0.655 0.633
0.002 0.345 0.133
0.345 0.002 0.633
0.998 0.343 0.633
0.345 0.343 0.867
0.655 0.657 0.133
0.343 0.345 0.367
0.655 0.998 0.367
0.657 0.002 0.867
0.998 0.655 0.867
0.667 0.333 0.750
0.333 0.667 0.250
0.000 0.000 0.000
0.000 0.000 0.500
0.667 0.333 0.250
0.333 0.667 0.750
```

As for the size of the total moment: 0.00 μB per formula unit. For the raw total energy, the calculation gives -127.4 eV per cell. As for the space-group type: No. 163.



Entry 2:
# LaCe2ScS4

A relaxed structure of LaCe2ScS4 (PBE-GGA, Alexandria via LeMat-Bulk).

```
LaCe2ScS4
1.0
3.968 0.000 0.000
0.000 6.923 0.142
0.000 -2.398 6.479
Ce S Sc La
2 4 1 1
Direct
0.000 0.500 0.500
0.500 0.000 0.500
0.500 0.771 0.766
0.500 0.229 0.234
0.000 0.766 0.246
0.000 0.234 0.754
0.000 0.000 0.000
0.500 0.500 0.000
```

As for the size of the total moment: 1.55 μB per formula unit. For the raw total energy, the calculation gives -55.5 eV per cell. As for the space-group type: No. 10.



Entry 3:
# Sr2HoPd4Pb3

A relaxed structure of Sr2HoPd4Pb3 (PBE-GGA, Alexandria via LeMat-Bulk).

```
Sr2HoPd4Pb3
1.0
-1.468 3.904 2.235
-4.137 -2.096 0.944
4.301 -4.040 9.883
Pd Sr Pb Ho
4 2 3 1
Direct
0.000 0.500 0.360
0.000 0.000 0.000
0.500 0.000 0.640
0.500 0.500 0.000
0.500 0.000 0.226
0.000 0.500 0.774
0.000 0.500 0.123
0.500 0.000 0.877
0.000 0.000 0.500
0.500 0.500 0.500
```

As for the size of the total moment: 0.00 μB per formula unit. As for the space-group type: No. 115. Its formation energy is -0.575 eV per atom.



Entry 4:
# YVGa2

A relaxed structure of YVGa2 (PBE-GGA, Alexandria via LeMat-Bulk).

```
YVGa2
1.0
-0.202 3.698 -2.264
-3.661 1.083 -2.066
-2.874 4.001 2.630
V Ga Y
1 2 1
Direct
0.000 0.000 0.000
0.717 0.717 0.850
0.283 0.283 0.150
0.500 0.500 0.500
```

As for the size of the total moment: 2.90 μB per formula unit. The calculation puts the energy above the lowest structure with this stoichiometry at 0.0000 eV per atom. As for the space-group type: No. 166. Its formation energy is -0.240 eV per atom.



Entry 5:
# TaBeV2Cr

A relaxed structure of TaBeV2Cr (PBE-GGA, Alexandria via LeMat-Bulk).

```
TaBeV2Cr
1.0
4.213 0.000 0.000
0.000 3.893 0.000
0.000 0.000 4.213
V Ta Be Cr
2 1 1 1
Direct
0.000 0.000 0.500
0.500 0.000 0.000
0.500 0.500 0.500
0.000 0.000 0.000
0.000 0.500 0.000
```

As for the size of the total moment: 0.09 μB per formula unit. As for the space-group type: No. 123. Its formation energy is 0.617 eV per atom.



Entry 6:
# BaGaW2Au

A relaxed structure of BaGaW2Au (PBE-GGA, Alexandria via LeMat-Bulk).

```
BaGaW2Au
1.0
-3.860 1.616 2.711
-3.774 -3.344 -3.379
0.594 -3.834 3.131
Au Ba Ga W
1 1 1 2
Direct
0.000 0.000 0.000
0.000 0.500 0.000
0.500 0.500 0.500
0.500 0.000 0.000
0.000 0.000 0.500
```

As for the size of the total moment: 1.49 μB per formula unit. As for the space-group type: No. 123. Its formation energy is 1.871 eV per atom.



Entry 7:
# Rb5ZnI8

A relaxed structure of Rb5ZnI8 (PBE-GGA, Alexandria via LeMat-Bulk).

```
Rb5ZnI8
1.0
-8.079 5.792 1.346
-1.327 -9.699 2.191
6.413 4.859 5.991
I Rb Zn
8 5 1
Direct
0.127 0.686 0.877
0.709 0.402 0.895
0.693 0.186 0.291
0.191 0.314 0.441
0.123 0.250 0.809
0.105 0.814 0.507
0.493 0.598 0.307
0.559 0.750 0.873
0.500 0.000 0.500
0.017 0.413 0.165
0.835 0.852 0.248
0.396 0.148 0.983
0.752 0.587 0.604
0.250 0.500 0.750
```

As for the size of the total moment: 1.11 μB per formula unit. For the raw total energy, the calculation gives -33.8 eV per cell. As for the space-group type: No. 82.



Entry 8:
# AlOs2W

A relaxed structure of AlOs2W (PBE-GGA, Alexandria via LeMat-Bulk).

```
AlOs2W
1.0
-4.548 5.352 0.023
-2.573 -2.159 -6.168
-5.354 0.067 -1.789
Al Os W
2 4 2
Direct
0.250 0.750 0.500
0.500 0.500 0.000
0.111 0.625 0.250
0.875 0.889 0.750
0.375 0.361 0.750
0.639 0.125 0.250
0.000 0.000 0.000
0.750 0.250 0.500
```

As for the size of the total moment: 0.00 μB per formula unit. As for the space-group type: No. 122. Its formation energy is 0.728 eV per atom.



Entry 9:
# SeSF2

A relaxed structure of SeSF2 (PBE-GGA, Alexandria via LeMat-Bulk).

```
SeSF2
1.0
0.000 2.983 2.983
2.983 0.000 2.983
2.983 2.983 0.000
F S Se
2 1 1
Direct
0.250 0.250 0.250
0.750 0.750 0.750
0.000 0.000 0.000
0.500 0.500 0.500
```

As for the size of the total moment: 0.00 μB per formula unit. The calculation puts the energy above the lowest structure with this stoichiometry at 0.6074 eV per atom. As for the space-group type: No. 225.



Entry 10:
# Pr8Co2Sn

A relaxed structure of Pr8Co2Sn (PBE-GGA, Alexandria via LeMat-Bulk).

```
Pr8Co2Sn
1.0
5.526 -0.045 -0.068
-0.978 8.165 -0.275
-0.978 -3.398 7.429
Pr Sn Co
8 1 2
Direct
0.060 0.075 0.328
0.940 0.925 0.672
0.500 0.751 0.249
0.500 0.249 0.751
0.060 0.328 0.075
0.940 0.672 0.925
0.698 0.394 0.394
0.302 0.606 0.606
0.500 0.000 0.000
0.000 0.294 0.706
0.000 0.706 0.294
```

As for the size of the total moment: 0.00 μB per formula unit. As for the space-group type: No. 12. Its formation energy is -0.094 eV per atom.



Entry 11:
# LiPa2Co9

A relaxed structure of LiPa2Co9 (PBE-GGA, Alexandria via LeMat-Bulk).

```
LiPa2Co9
1.0
4.829 0.000 0.000
2.415 4.182 0.000
2.415 1.394 8.081
Co Pa Li
9 2 1
Direct
0.418 0.418 0.245
0.919 0.418 0.245
0.081 0.582 0.755
0.418 0.919 0.245
0.334 0.334 0.999
0.500 0.500 0.500
0.582 0.081 0.755
0.582 0.582 0.755
0.666 0.666 0.001
0.132 0.132 0.604
0.868 0.868 0.396
0.000 0.000 0.000
```

As for the size of the total moment: 6.90 μB per formula unit. As for the space-group type: No. 166. Its formation energy is -0.110 eV per atom.



Entry 12:
# CsLa3Ta

A relaxed structure of CsLa3Ta (PBE-GGA, Alexandria via LeMat-Bulk).

```
CsLa3Ta
1.0
-1.087 3.342 4.611
-4.690 -3.188 1.205
3.230 -3.504 3.301
La Ta Cs
3 1 1
Direct
0.000 0.000 0.500
0.000 0.500 0.000
0.500 0.000 0.000
0.500 0.500 0.500
0.000 0.000 0.000
```

As for the size of the total moment: 3.24 μB per formula unit. The calculation puts the energy above the lowest structure with this stoichiometry at 1.1323 eV per atom. As for the space-group type: No. 221. Its formation energy is 1.725 eV per atom.



Entry 13:
# AcDy2N

A relaxed structure of AcDy2N (PBE-GGA, Alexandria via LeMat-Bulk).

```
AcDy2N
1.0
3.537 0.000 0.000
1.768 3.063 0.000
1.768 1.021 9.921
Dy N Ac
2 1 1
Direct
0.877 0.877 0.368
0.123 0.123 0.632
0.500 0.500 0.500
0.000 0.000 0.000
```

As for the size of the total moment: 0.05 μB per formula unit. The calculation puts the energy above the lowest structure with this stoichiometry at 0.0000 eV per atom. As for the space-group type: No. 166.



Entry 14:
# NaNpPbI6

A relaxed structure of NaNpPbI6 (PBE-GGA, Alexandria via LeMat-Bulk).

```
NaNpPbI6
1.0
7.985 0.000 0.000
-3.992 6.915 0.000
0.000 0.000 14.659
Na I Np Pb
2 12 2 2
Direct
0.000 0.000 0.000
0.000 0.000 0.500
0.986 0.339 0.625
0.661 0.646 0.625
0.014 0.354 0.125
0.986 0.646 0.875
0.339 0.354 0.375
0.339 0.986 0.125
0.646 0.986 0.375
0.354 0.014 0.625
0.661 0.014 0.875
0.646 0.661 0.125
0.354 0.339 0.875
0.014 0.661 0.375
0.333 0.667 0.250
0.667 0.333 0.750
0.667 0.333 0.250
0.333 0.667 0.750
```

As for the size of the total moment: 4.00 μB per formula unit. For the raw total energy, the calculation gives -70.1 eV per cell. As for the space-group type: No. 163.



Entry 15:
# SmZrPa2P4

A relaxed structure of SmZrPa2P4 (PBE-GGA, Alexandria via LeMat-Bulk).

```
SmZrPa2P4
1.0
-0.787 3.469 -1.747
-6.538 -0.491 1.969
3.591 3.217 4.771
P Zr Sm Pa
4 1 1 2
Direct
0.500 0.240 0.245
0.000 0.760 0.252
0.000 0.240 0.748
0.500 0.760 0.755
0.000 0.000 0.000
0.500 0.500 0.000
0.000 0.500 0.500
0.500 0.000 0.500
```

As for the size of the total moment: 0.00 μB per formula unit. As for the space-group type: No. 10. Its formation energy is -1.376 eV per atom.



Entry 16:
# Na8B11C5

A relaxed structure of Na8B11C5 (PBE-GGA, Alexandria via LeMat-Bulk).

```
Na8B11C5
1.0
2.798 0.000 0.000
0.000 5.166 0.000
0.000 0.000 17.155
Na B C
8 11 5
Direct
0.000 0.000 0.251
0.500 0.500 0.251
0.500 0.500 0.999
0.500 0.499 0.503
0.000 0.998 0.502
0.000 0.998 0.748
0.000 0.000 0.999
0.500 0.499 0.747
0.500 0.172 0.625
0.500 0.150 0.377
0.000 0.364 0.377
0.000 0.364 0.873
0.000 0.672 0.625
0.500 0.820 0.377
0.500 0.150 0.873
0.000 0.635 0.125
0.500 0.179 0.125
0.500 0.820 0.873
0.500 0.849 0.125
0.000 0.336 0.125
0.000 0.663 0.377
0.000 0.663 0.873
0.000 0.335 0.625
0.500 0.835 0.625
```

As for the size of the total moment: 0.00 μB per formula unit. The calculation puts the energy above the lowest structure with this stoichiometry at 0.0099 eV per atom. As for the space-group type: No. 25. Its formation energy is 0.112 eV per atom.



Entry 17:
# AlCdHgF6

A relaxed structure of AlCdHgF6 (PBE-GGA, Alexandria via LeMat-Bulk).

```
AlCdHgF6
1.0
5.759 0.000 0.000
-2.879 4.987 0.000
0.000 0.000 8.928
Cd Hg F Al
2 2 12 2
Direct
0.000 0.000 0.000
0.000 0.000 0.500
0.333 0.667 0.250
0.667 0.333 0.750
0.704 0.611 0.128
0.611 0.906 0.872
0.094 0.389 0.628
0.389 0.296 0.372
0.094 0.704 0.872
0.906 0.611 0.372
0.611 0.704 0.628
0.296 0.389 0.872
0.704 0.094 0.372
0.389 0.094 0.128
0.906 0.296 0.128
0.296 0.906 0.628
0.667 0.333 0.250
0.333 0.667 0.750
```

As for the size of the total moment: 0.00 μB per formula unit. For the raw total energy, the calculation gives -75.7 eV per cell. As for the space-group type: No. 163.



Entry 18:
# NdSmY2Ho6

A relaxed structure of NdSmY2Ho6 (PBE-GGA, Alexandria via LeMat-Bulk).

```
NdSmY2Ho6
1.0
-3.547 6.037 -5.564
3.129 -4.742 -6.989
-8.198 -2.144 3.052
Ho Y Sm Nd
12 4 2 2
Direct
0.318 0.024 0.470
0.930 0.916 0.224
0.587 0.437 0.722
0.430 0.224 0.916
0.413 0.563 0.278
0.913 0.278 0.563
0.087 0.722 0.437
0.818 0.470 0.024
0.182 0.530 0.976
0.570 0.776 0.084
0.070 0.084 0.776
0.682 0.976 0.530
0.936 0.696 0.798
0.064 0.304 0.202
0.436 0.798 0.696
0.564 0.202 0.304
0.250 0.432 0.568
0.750 0.568 0.432
0.750 0.058 0.942
0.250 0.942 0.058
```

As for the size of the total moment: 0.00 μB per formula unit. As for the space-group type: No. 15. Its formation energy is 0.124 eV per atom.



Entry 19:
# NaLiTb2Cl8

A relaxed structure of NaLiTb2Cl8 (PBE-GGA, Alexandria via LeMat-Bulk).

```
NaLiTb2Cl8
1.0
6.476 0.270 -0.005
0.353 6.467 -0.008
0.006 0.010 8.110
Cl Na Li Tb
8 1 1 2
Direct
0.199 0.800 0.767
0.199 0.800 0.233
0.688 0.689 0.000
0.312 0.311 0.000
0.801 0.200 0.767
0.801 0.200 0.233
0.683 0.684 0.500
0.317 0.316 0.500
0.000 0.000 0.500
0.000 0.000 0.000
0.500 0.500 0.246
0.500 0.500 0.754
```

As for the size of the total moment: 0.00 μB per formula unit. For the raw total energy, the calculation gives -52.6 eV per cell. As for the space-group type: No. 10.



Entry 20:
# Be4AlZn

A relaxed structure of Be4AlZn (PBE-GGA, Alexandria via LeMat-Bulk).

```
Be4AlZn
1.0
-0.739 4.061 1.626
-1.511 0.490 4.142
2.656 1.645 3.150
Zn Be Al
1 4 1
Direct
0.250 0.250 0.250
0.625 0.625 0.625
0.625 0.124 0.625
0.124 0.625 0.625
0.625 0.625 0.124
0.000 0.000 0.000
```

As for the size of the total moment: 0.00 μB per formula unit. As for the space-group type: No. 216. Its formation energy is 0.076 eV per atom.